1.
Pm4Dy3Tl4 | Alexandria | PBE | optimized geometry; space group = No. 71; final energy = -44.968 eV per cell; DFT formation energy = -0.2449 eV per atom
1.0
-2.0156 -2.8778 -1.0676
4.1441 -5.3560 6.6138
-7.9513 6.5951 3.5490
Tl Dy Pm
4 3 4
Direct
0.5000 0.7799 0.0000
0.2748 0.7748 0.5496
0.5000 0.2201 0.0000
0.7252 0.2252 0.4504
0.0942 0.0942 0.1885
0.9058 0.9058 0.8115
0.0000 0.5000 0.0000
0.3383 0.1609 0.6766
0.6617 0.8391 0.3234
0.6617 0.4843 0.3234
0.3383 0.5157 0.6766


2.
Hg2AsW | Alexandria | PBE | optimized geometry; space group = No. 71; final energy = -16.418 eV per cell; DFT formation energy = 0.4471 eV per atom
1.0
-3.3813 6.3433 -2.6795
-6.0477 2.2791 -4.1330
3.8799 -3.4559 5.6439
W As Hg
1 1 2
Direct
0.7500 0.2500 0.5000
0.2500 0.7500 0.5000
0.5665 0.5665 0.0000
0.9335 0.9335 0.0000


3.
CdIrCl | Alexandria | PBE | optimized geometry; relative energy among the computed polymorphs = 0.059 eV per atom; space group = No. 107; final energy = -10.254 eV per cell; raw formation energy = 0.456 eV/atom
1.0
-3.7879 -2.5334 4.3700
-0.4742 -5.1979 3.5524
3.2873 4.8254 -2.4026
Cl Cd Ir
1 1 1
Direct
0.3206 0.3206 0.0000
0.0145 0.0145 0.0000
0.6649 0.6649 0.0000


4.
CaSi2 | Alexandria | PBE | optimized geometry; space group = No. 139; final energy = -13.375 eV per cell; raw formation energy = -0.176 eV/atom
1.0
5.7040 0.0001 0.0000
3.6768 4.3608 0.0000
-4.6904 -2.1805 2.4044
Si Ca
2 1
Direct
0.2084 0.2084 0.0000
0.7916 0.7916 0.0000
0.5000 0.5000 0.0000


5.
Pr4DyTl | Alexandria | PBE | optimized geometry; relative energy among the computed polymorphs = 0.078 eV per atom; space group = No. 15; final energy = -52.468 eV per cell; DFT formation energy = -0.0246 eV per atom
1.0
-2.3312 4.4813 -4.3284
-6.5235 -3.2046 5.7259
5.9332 4.6736 3.9899
Pr Dy Tl
8 2 2
Direct
0.3608 0.9074 0.6199
0.2179 0.5949 0.7647
0.9532 0.8302 0.2353
0.7591 0.7125 0.6199
0.0468 0.1698 0.7647
0.7821 0.4051 0.2353
0.6392 0.0926 0.3801
0.2409 0.2875 0.3801
0.6607 0.4107 0.8213
0.3393 0.5893 0.1787
0.7490 0.9990 0.9980
0.2510 0.0010 0.0020


6.
Nd2YTm6 | Alexandria | PBE | optimized geometry; relative energy among the computed polymorphs = 0.000 eV per atom; space group = No. 15; final energy = -83.673 eV per cell; DFT formation energy = 0.1102 eV per atom
1.0
6.5291 -0.0709 -0.0686
1.6389 9.3530 -0.8157
1.6389 -0.5123 9.3745
Tm Y Nd
12 2 4
Direct
0.6853 0.2234 0.0409
0.3147 0.7766 0.9591
0.2308 0.4622 0.0593
0.8147 0.9591 0.7766
0.0036 0.2752 0.6514
0.9964 0.7248 0.3486
0.5036 0.6514 0.2752
0.7308 0.0593 0.4622
0.4964 0.3486 0.7248
0.7692 0.5378 0.9407
0.2692 0.9407 0.5378
0.1853 0.0409 0.2234
0.7500 0.8829 0.1171
0.2500 0.1171 0.8829
0.1257 0.6181 0.6698
0.6257 0.6698 0.6181
0.8743 0.3819 0.3302
0.3743 0.3302 0.3819